VASP calculation (PBE-GGA) on a relaxed Ba2ZnAgSn2 crystal.

Summary:
The final energy is -3.16 eV per atom.

The structure in POSCAR format:
```
Ba2ZnAgSn2
1.0
4.773 0.000 0.000
-2.387 4.134 0.000
0.000 0.000 10.073
Ba Zn Ag Sn
2 1 1 2
Direct
0.000 0.000 0.247
0.000 0.000 0.753
0.333 0.667 0.500
0.667 0.333 0.000
0.333 0.667 0.000
0.667 0.333 0.500
```